(1)
Compound: Na2HgGe2
Source: the Alexandria database
Functional: PBE
Structure: relaxed

Cell lengths 4.3182, 4.3182, 7.1601 Å; angles 72.45, 72.45, 90.00 degrees
Fractional coordinates of all 5 atoms:
Na 0.7500 0.2500 0.5000
Na 0.2500 0.7500 0.5000
Ge 0.4097 0.4097 0.1806
Ge 0.5903 0.5903 0.8194
Hg 0.0000 0.0000 0.0000

Output
crystal system	tetragonal
offset from the most stable computed form	224.7	meV per atom
space group	I4/mmm (139)
N(E_F)	1.262	states/eV/cell

(2)
Compound: YLuZn2
Source: the Alexandria database
Functional: PBE
Structure: relaxed

Cell lengths 5.0032, 5.0032, 5.0032 Å; angles 60.00, 60.00, 60.00 degrees
Fractional coordinates of all 4 atoms:
Y 0.0000 0.0000 0.0000
Zn 0.2500 0.2500 0.2500
Zn 0.7500 0.7500 0.7500
Lu 0.5000 0.5000 0.5000

Output
crystal system	cubic
offset from the most stable computed form	0.0	meV per atom
space group	Fm-3m (225)
N(E_F)	3.058	states/eV/cell

Q: Among the records above, which one has the lowest N(E_F)?
A: Na2HgGe2

Q: Which value of offset from the most stable computed form does entry 2 give?
A: 0.0 meV per atom